Entry 1:
The following is a GGA-PBE calculation of an optimized crystal structure of Ce2ScZnC, from the Alexandria database.

**ΔH_f (0 K)**: -0.18 eV per atom

Lattice parameters (Å, degrees): 4.9441 4.9441 4.5363 90.00 90.00 90.00
With the nearest neighbours (Å) after each atom.
Space group P4/mmm (No. 123)
Symmetry-distinct sites (fractional):
Ce1 0.0000 0.5000 0.0000 (multiplicity 2)  2 C 2.47
Sc1 0.0000 0.0000 0.5000 (multiplicity 1)  2 C 2.27
Zn1 0.5000 0.5000 0.5000 (multiplicity 1)  8 Ce 3.35, 4 Sc 3.50
C1 0.0000 0.0000 0.0000 (multiplicity 1)  2 Sc 2.27, 4 Ce 2.47

Entry 2:
The following is a GGA-PBE calculation of an optimized crystal structure of La8Si3RhBr4, from the Alexandria database.

**ΔE_f (raw)**: -1.124 eV/atom

Lattice parameters (Å, degrees): 15.1146 8.7132 8.9329 90.00 124.32 90.00
With the nearest neighbours (Å) after each atom.
Space group C2/m (No. 12)
Symmetry-distinct sites (fractional):
La1 0.0114 0.2444 0.2896 (multiplicity 8)  1 Rh 2.91, 2 Si 2.98
La2 0.2353 0.0000 0.7126 (multiplicity 4)  1 Rh 2.94, 2 Si 2.98, 2 Br 3.28
La3 0.2398 0.5000 0.7196 (multiplicity 4)  3 Si 2.99, 3 Br 3.26
Si1 0.0000 0.5000 0.5000 (multiplicity 2)  6 La 2.98-2.99
Si2 0.2500 0.2500 0.5000 (multiplicity 4)  6 La 2.98-2.99
Rh1 0.0000 0.0000 0.5000 (multiplicity 2)  6 La 2.91-2.94
Br1 0.0000 0.0000 0.0000 (multiplicity 2)  6 La 3.26-3.28
Br2 0.0000 0.5000 0.0000 (multiplicity 2)  6 La 3.32-3.34
Br3 0.2500 0.2500 0.0000 (multiplicity 4)  6 La 3.26-3.28

Entry 3:
The following is a GGA-PBE calculation of an optimized crystal structure of SrTl6In2, from the Alexandria database.

**Energy above the most stable polymorph in this dataset**: 0.034 eV/atom
**ΔH_f (0 K)**: -0.04 eV per atom

Lattice parameters (Å, degrees): 16.6026 9.6684 3.5140 90.00 98.70 90.00
With the nearest neighbours (Å) after each atom.
Space group C2/m (No. 12)
Symmetry-distinct sites (fractional):
Sr1 0.0000 0.0000 0.0000 (multiplicity 2)  2 Sr 3.51, 12 Tl 3.64-3.83
Tl1 0.0000 0.3296 0.5000 (multiplicity 4)  5 Tl 3.28-3.51, 4 In 3.39-3.48, 2 Sr 3.64
Tl2 0.1763 0.1702 0.6661 (multiplicity 8)  6 Tl 3.25-3.51, 2 In 3.34-3.56
In1 0.1490 0.5000 0.0808 (multiplicity 4)  8 Tl 3.34-3.56, 2 In 3.51

Entry 4:
The following is a GGA-PBE calculation of an optimized crystal structure of PrErGe2Rh5, from the Alexandria database.

**ΔH_f (0 K)**: -0.67 eV per atom

Lattice parameters (Å, degrees): 4.2211 4.2211 8.9935 90.00 90.00 90.00
With the nearest neighbours (Å) after each atom.
Space group P4/mmm (No. 123)
Symmetry-distinct sites (fractional):
Pr1 0.0000 0.0000 0.0000 (multiplicity 1)  12 Rh 2.98-2.99
Er1 0.0000 0.0000 0.5000 (multiplicity 1)  8 Rh 3.18, 8 Ge 3.23
Ge1 0.5000 0.5000 0.3613 (multiplicity 2)  4 Rh 2.39, 1 Ge 2.49
Rh1 0.0000 0.5000 0.2357 (multiplicity 4)  2 Ge 2.39
Rh2 0.5000 0.5000 0.0000 (multiplicity 1)  4 Pr 2.98, 8 Rh 2.99, 2 Ge 3.25

- Which formula does entry 4 have?
  PrErGe2Rh5

What did the first record say?
The following is a GGA-PBE calculation of an optimized crystal structure of Ce2ScZnC, from the Alexandria database.

**ΔH_f (0 K)**: -0.18 eV per atom

Lattice parameters (Å, degrees): 4.9441 4.9441 4.5363 90.00 90.00 90.00
With the nearest neighbours (Å) after each atom.
Space group P4/mmm (No. 123)
Symmetry-distinct sites (fractional):
Ce1 0.0000 0.5000 0.0000 (multiplicity 2)  2 C 2.47
Sc1 0.0000 0.0000 0.5000 (multiplicity 1)  2 C 2.27
Zn1 0.5000 0.5000 0.5000 (multiplicity 1)  8 Ce 3.35, 4 Sc 3.50
C1 0.0000 0.0000 0.0000 (multiplicity 1)  2 Sc 2.27, 4 Ce 2.47